Record 1
KHgS2N | PBE-GGA | relaxed

```
KHgS2N
1.0
6.170 0.000 0.000
0.000 6.170 0.000
0.000 0.000 5.543
K Hg S N
1 1 2 1
direct
0.000 0.000 0.000
0.500 0.500 0.500
0.000 0.500 0.000
0.500 0.000 0.000
0.000 0.000 0.500
```

Summary:
distance to the lowest polymorph of the same formula: 0.756 eV/atom
formation energy without anion corrections: 1499 meV/atom
Fermi-level density of states: 4.82 states/eV/cell
raw total energy: -2.0969 eV/atom
V: 211 Å³ per cell


Record 2
TlCd6Sn3 | PBE-GGA | relaxed

```
TlCd6Sn3
1.0
3.660 -8.011 0.000
3.660 8.011 0.000
0.000 0.000 9.012
Tl Cd Sn
2 12 6
direct
0.186 0.814 0.500
0.814 0.186 0.000
0.021 0.979 0.712
0.023 0.386 0.354
0.260 0.740 0.110
0.261 0.270 0.960
0.270 0.261 0.460
0.386 0.023 0.854
0.614 0.977 0.354
0.730 0.739 0.960
0.739 0.730 0.460
0.740 0.260 0.610
0.977 0.614 0.854
0.979 0.021 0.212
0.157 0.424 0.705
0.424 0.157 0.205
0.433 0.567 0.211
0.567 0.433 0.711
0.576 0.843 0.705
0.843 0.576 0.205
```

Summary:
energy of formation: 0.57 eV/f.u.
Fermi-level density of states: 5.54 states/eV/cell
raw total energy: -1.9293 eV/atom
V: 529 Å³ per cell


Record 3
SmVZn4 | PBE-GGA | relaxed

```
SmVZn4
1.0
0.000 3.734 3.734
3.734 0.000 3.734
3.734 3.734 0.000
Sm V Zn
1 1 4
direct
0.000 0.000 0.000
0.250 0.250 0.250
0.128 0.624 0.624
0.624 0.128 0.624
0.624 0.624 0.128
0.624 0.624 0.624
```

Summary:
energy of formation: -0.84 eV/f.u.
Fermi-level density of states: 3.42 states/eV/cell
raw total energy: -3.2959 eV/atom
V: 104 Å³ per cell


Record 4
NbHg3Ge | PBE-GGA | relaxed

```
NbHg3Ge
1.0
5.184 0.000 0.000
0.000 5.184 0.000
0.000 0.000 5.184
Nb Hg Ge
1 3 1
direct
0.000 0.000 0.000
0.000 0.500 0.500
0.500 0.000 0.500
0.500 0.500 0.000
0.500 0.500 0.500
```

Summary:
distance to the lowest polymorph of the same formula: 0.073 eV/atom
energy of formation: 5.34 eV/f.u.
Fermi-level density of states: 7.29 states/eV/cell
raw total energy: -2.0496 eV/atom
V: 139 Å³ per cell


Record 5
NdCuSnHg | PBE-GGA | relaxed

```
NdCuSnHg
1.0
0.000 3.595 3.595
3.595 0.000 3.595
3.595 3.595 0.000
Nd Cu Sn Hg
1 1 1 1
direct
0.000 0.000 0.000
0.250 0.250 0.250
0.500 0.500 0.500
0.750 0.750 0.750
```

Summary:
energy of formation: -1.10 eV/f.u.
Fermi-level density of states: 2.03 states/eV/cell
raw total energy: -3.5668 eV/atom
V: 93 Å³ per cell


Record 6
BeCdSn | PBE-GGA | relaxed

```
BeCdSn
1.0
4.055 0.000 0.000
0.003 4.560 0.000
1.949 0.024 6.565
Be Cd Sn
2 2 2
direct
0.000 0.000 0.000
0.000 0.495 0.000
0.412 0.746 0.184
0.830 0.246 0.363
0.185 0.749 0.633
0.589 0.249 0.817
```

Summary:
energy of formation: 0.70 eV/f.u.
Fermi-level density of states: 1.87 states/eV/cell
raw total energy: -2.6487 eV/atom
V: 121 Å³ per cell


Record 7
BeC4 | PBE-GGA | relaxed

```
BeC4
1.0
-2.013 2.013 2.013
2.013 -2.013 2.013
2.013 2.013 -2.013
Be C
1 4
direct
0.000 0.000 0.000
0.000 0.000 0.500
0.000 0.500 0.000
0.500 0.000 0.000
0.500 0.500 0.500
```

Summary:
distance to the lowest polymorph of the same formula: 1.643 eV/atom
energy of formation: 12.69 eV/f.u.
Fermi-level density of states: 2.77 states/eV/cell
raw total energy: -5.5871 eV/atom
V: 33 Å³ per cell


Record 8
Zn2Ru2W | PBE-GGA | relaxed

```
Zn2Ru2W
1.0
1.498 -8.683 0.000
1.498 8.683 0.000
0.000 0.000 2.964
Zn Ru W
2 2 1
direct
0.188 0.812 0.000
0.812 0.188 0.000
0.407 0.593 0.500
0.593 0.407 0.500
0.000 0.000 0.000
```

Summary:
distance to the lowest polymorph of the same formula: 0.000 eV/atom
energy of formation: 0.10 eV/f.u.
Fermi-level density of states: 2.85 states/eV/cell
raw total energy: -6.7900 eV/atom
V: 77 Å³ per cell


Record 9
SrIn2As | PBE-GGA | relaxed

```
SrIn2As
1.0
4.813 0.000 0.000
0.000 4.061 0.000
-2.370 0.000 5.949
Sr In As
1 2 1
direct
0.000 0.000 0.000
0.288 0.000 0.570
0.710 0.500 0.411
0.461 0.500 0.923
```

Summary:
energy of formation: -1.93 eV/f.u.
Fermi-level density of states: 1.35 states/eV/cell
raw total energy: -3.4356 eV/atom
V: 116 Å³ per cell


Record 10
Zn4Si3 | PBE-GGA | relaxed

```
Zn4Si3
1.0
5.160 0.000 0.000
-2.580 4.469 0.000
0.000 0.000 4.904
Zn Si
4 3
direct
0.000 0.000 0.247
0.000 0.000 0.753
0.333 0.667 0.000
0.667 0.333 0.000
0.000 0.500 0.500
0.500 0.000 0.500
0.500 0.500 0.500
```

Summary:
distance to the lowest polymorph of the same formula: 0.060 eV/atom
formation energy without anion corrections: 370 meV/atom
Fermi-level density of states: 3.35 states/eV/cell
raw total energy: -2.6822 eV/atom
V: 113 Å³ per cell


Record 11
ZnCr | PBE-GGA | relaxed

```
ZnCr
1.0
1.466 -2.075 0.000
1.466 2.075 0.000
0.000 0.000 8.516
Zn Cr
2 2
direct
0.250 0.750 0.863
0.750 0.250 0.137
0.250 0.750 0.391
0.750 0.250 0.609
```

Summary:
energy of formation: 0.24 eV/f.u.
Fermi-level density of states: 2.32 states/eV/cell
raw total energy: -5.3296 eV/atom
V: 52 Å³ per cell


Record 12
LaAlSb2 | PBE-GGA | relaxed

```
LaAlSb2
1.0
-3.907 3.907 3.962
3.907 -3.907 3.962
3.907 3.907 -3.962
La Al Sb
2 2 4
direct
0.000 0.000 0.000
0.750 0.250 0.500
0.250 0.750 0.500
0.500 0.500 0.000
0.183 0.625 0.058
0.375 0.433 0.558
0.567 0.125 0.942
0.875 0.817 0.442
```

Summary:
formation energy without anion corrections: -515 meV/atom
Fermi-level density of states: 1.28 states/eV/cell
raw total energy: -4.7438 eV/atom
V: 242 Å³ per cell


Copy entry 12 word for word.
LaAlSb2 | PBE-GGA | relaxed

```
LaAlSb2
1.0
-3.907 3.907 3.962
3.907 -3.907 3.962
3.907 3.907 -3.962
La Al Sb
2 2 4
direct
0.000 0.000 0.000
0.750 0.250 0.500
0.250 0.750 0.500
0.500 0.500 0.000
0.183 0.625 0.058
0.375 0.433 0.558
0.567 0.125 0.942
0.875 0.817 0.442
```

Summary:
formation energy without anion corrections: -515 meV/atom
Fermi-level density of states: 1.28 states/eV/cell
raw total energy: -4.7438 eV/atom
V: 242 Å³ per cell


Among the records above, which one has the highest Fermi-level density of states?
NbHg3Ge


Look up the V of the tenth one.
113 Å³ per cell


Look up the V of the second one.
529 Å³ per cell